Below is a geometry-optimized Fe2PbF6 structure, with properties calculated at the PBE with a Hubbard U level.

As for the raw total energy: -5.11 eV/atom.

a b c (Å): 5.4766 5.4766 5.3753
angles (deg): 90.00 90.00 120.00
Space group P-31m (No. 162)
Asymmetric unit:
Fe 0.3333 0.6667 0.0000 x2
Pb 0.0000 0.0000 0.5000 x1
F 0.0000 0.3570 0.7869 x6